The following is a PBE calculation of Pr8Ge5Sb after structural relaxation, from the Alexandria database.

Computed properties:
E_form (uncorrected): -11.8 eV/f.u.
DOS at the Fermi energy: 0.5155 states/eV/atom
VASP energy: -5.5179 eV per atom

abc: 9.3410 9.3410 9.2669
angles: 90.00 90.00 90.00
Space group I-4 (No. 82)
Asymmetric unit:
Pr 0.0645 0.3131 0.0622 x8
Pr 0.0686 0.1752 0.6883 x8
Ge 0.0000 0.0000 0.0000 x2
Ge 0.1269 0.2494 0.3757 x8
Sb 0.0000 0.5000 0.7500 x2



The following is a PBE calculation of Pr5GeSb4 after structural relaxation, from the Alexandria database.

Computed properties:
E_form (uncorrected): -10.7 eV/f.u.
DOS at the Fermi energy: 0.4205 states/eV/atom
VASP energy: -5.5725 eV per atom

abc: 10.0855 10.0855 6.3893
angles: 90.00 90.00 90.00
Space group I4/m (No. 87)
Asymmetric unit:
Pr 0.0000 0.0000 0.0000 x2
Pr 0.0988 0.2921 0.5000 x8
Ge 0.0000 0.0000 0.5000 x2
Sb 0.0964 0.3018 0.0000 x8



The following is a PBE calculation of Pr4GeSbTe2 after structural relaxation, from the Alexandria database.

Computed properties:
E_form (uncorrected): -10.4 eV/f.u.
DOS at the Fermi energy: 0.2047 states/eV/atom
VASP energy: -5.5705 eV per atom

abc: 7.7960 4.4868 7.8372
angles: 90.00 109.21 90.00
Space group P2/m (No. 10)
Asymmetric unit:
Pr 0.2334 0.0000 0.2290 x2
Pr 0.2442 0.5000 0.7661 x2
Ge 0.0000 0.5000 0.0000 x1
Sb 0.5000 0.0000 0.0000 x1
Te 0.0000 0.0000 0.5000 x1
Te 0.5000 0.5000 0.5000 x1



The following is a PBE calculation of Pr8GeSb3Te4 after structural relaxation, from the Alexandria database.

Computed properties:
E_form (uncorrected): -21.3 eV/f.u.
DOS at the Fermi energy: 0.4046 states/eV/atom
VASP energy: -5.5688 eV per atom

abc: 9.0443 9.0443 22.2879
angles: 90.00 90.00 120.00
Space group R-3m (No. 166, hexagonal axes)
Asymmetric unit:
Pr 0.0000 0.0000 0.2468 x6
Pr 0.0114 0.5057 0.2444 x18
Ge 0.0000 0.0000 0.5000 x3
Sb 0.0000 0.5000 0.5000 x9
Te 0.0000 0.0000 0.0000 x3
Te 0.0000 0.5000 0.0000 x9



Which formula does entry 4 have? Pr8GeSb3Te4